[1]
DFT (GGA-PBE) results for YReNi after structural relaxation.

```
3
Lattice="4.364 0.000 0.000 2.182 3.780 0.000 2.182 1.260 3.564" Properties=species:S:1:pos:R:3 pbc="T T T"
Ni 2.182 1.260 0.891
Re 0.000 0.000 0.000
Y 4.364 2.520 1.782
```

Its density of states at the Fermi level is 1.3793 states/eV/atom. As for the volume: 59 Å³ per cell. Its space group is F-43m. For the energy above the most stable polymorph in this dataset, the calculation gives 407 meV per atom.


[2]
DFT (GGA-PBE) results for YRe2Ni after structural relaxation.

```
4
Lattice="-3.187 -0.044 4.179 -3.380 -4.025 -0.032 5.109 1.234 0.031" Properties=species:S:1:pos:R:3 pbc="T T T"
Re -0.884 -0.548 3.271
Re -6.553 -4.061 4.139
Ni -0.609 -2.309 0.930
Y -3.261 -2.021 2.060
```

Its density of states at the Fermi level is 1.1216 states/eV/atom. As for the volume: 69 Å³ per cell. Its space group is Imm2. For the energy above the most stable polymorph in this dataset, the calculation gives 277 meV per atom.


[3]
DFT (GGA-PBE) results for YRe2Ni after structural relaxation.

```
4
Lattice="9.336 0.010 0.006 8.888 2.857 0.006 8.888 1.399 2.491" Properties=species:S:1:pos:R:3 pbc="T T T"
Re 7.039 1.108 0.650
Ni 20.129 3.167 1.859
Re 0.055 0.009 0.005
Y 13.445 2.116 1.242
```

Its density of states at the Fermi level is 0.8167 states/eV/atom. As for the volume: 66 Å³ per cell. Its space group is R3m. For the energy above the most stable polymorph in this dataset, the calculation gives 336 meV per atom.


[4]
DFT (GGA-PBE) results for YRe2Ni2 after structural relaxation.

```
5
Lattice="-0.986 3.915 0.909 -3.991 -1.065 0.259 -1.907 0.436 5.475" Properties=species:S:1:pos:R:3 pbc="T T T"
Re -2.352 1.193 1.731
Ni -4.193 0.398 3.159
Re -4.532 2.094 4.911
Ni -2.690 2.888 3.484
Y 0.000 0.000 0.000
```

Its density of states at the Fermi level is 1.2193 states/eV/atom. The calculation puts the uncorrected energy at -8.440 eV per atom. As for the volume: 86 Å³ per cell. Its space group is I4/mmm.


[5]
DFT (GGA-PBE) results for YRe2Ni after structural relaxation.

```
4
Lattice="-1.506 4.474 3.146 -1.663 2.294 4.914 3.616 1.575 2.262" Properties=species:S:1:pos:R:3 pbc="T T T"
Re -0.010 4.347 5.357
Ni 0.112 2.086 2.581
Re -2.936 6.592 7.864
Y 0.335 6.257 7.742
```

Its density of states at the Fermi level is 0.7249 states/eV/atom. As for the volume: 66 Å³ per cell. Its space group is C2/m. For the energy above the most stable polymorph in this dataset, the calculation gives 99 meV per atom.


[6]
DFT (GGA-PBE) results for YRe2Ni after structural relaxation.

```
4
Lattice="5.436 -0.006 0.000 2.797 4.662 0.000 -4.116 -2.328 2.681" Properties=species:S:1:pos:R:3 pbc="T T T"
Re 0.000 0.000 0.000
Y 1.398 2.331 1.341
Ni 2.718 -0.003 1.341
Re 4.116 2.328 0.000
```

Its density of states at the Fermi level is 1.5537 states/eV/atom. As for the volume: 68 Å³ per cell. Its space group is I4/mmm. For the energy above the most stable polymorph in this dataset, the calculation gives 321 meV per atom.


[7]
DFT (GGA-PBE) results for YRe2Ni after structural relaxation.

```
4
Lattice="4.526 0.000 0.000 2.263 3.920 0.000 2.263 1.307 3.696" Properties=species:S:1:pos:R:3 pbc="T T T"
Y 6.789 3.920 2.772
Re 2.263 1.307 0.924
Ni 4.526 2.613 1.848
Re 0.000 0.000 0.000
```

Its density of states at the Fermi level is 1.4485 states/eV/atom. As for the volume: 66 Å³ per cell. Its space group is F-43m. For the energy above the most stable polymorph in this dataset, the calculation gives 151 meV per atom.


[8]
DFT (GGA-PBE) results for YRe4Ni after structural relaxation.

```
6
Lattice="0.000 3.731 3.731 3.731 0.000 3.731 3.731 3.731 0.000" Properties=species:S:1:pos:R:3 pbc="T T T"
Re 4.673 2.789 4.673
Ni 0.000 0.000 0.000
Re 4.673 4.673 2.789
Re 2.789 2.789 2.789
Re 2.789 4.673 4.673
Y 5.596 5.596 5.596
```

Its density of states at the Fermi level is 1.0864 states/eV/atom. The calculation puts the uncorrected energy at -10.074 eV per atom. As for the volume: 104 Å³ per cell. Its space group is F-43m.


[9]
DFT (GGA-PBE) results for YRe2Ni after structural relaxation.

```
4
Lattice="4.283 0.000 0.000 2.140 3.709 0.000 2.141 1.236 4.843" Properties=species:S:1:pos:R:3 pbc="T T T"
Re 6.423 3.709 4.331
Y 4.281 2.472 2.445
Re 6.423 3.709 0.029
Ni 2.141 1.236 0.459
```

Its density of states at the Fermi level is 0.9222 states/eV/atom. As for the volume: 77 Å³ per cell. Its space group is R3m. For the energy above the most stable polymorph in this dataset, the calculation gives 0 meV per atom.


[10]
DFT (GGA-PBE) results for YReNi after structural relaxation.

```
3
Lattice="-1.870 -1.049 -3.969 -1.974 -4.016 -0.572 -4.487 -0.274 -0.377" Properties=species:S:1:pos:R:3 pbc="T T T"
Re -4.166 -2.670 -2.459
Y -2.083 -1.335 -1.230
Ni 0.000 0.000 0.000
```

Its density of states at the Fermi level is 1.0952 states/eV/atom. As for the volume: 65 Å³ per cell. Its space group is F-43m. For the energy above the most stable polymorph in this dataset, the calculation gives 1296 meV per atom.


[11]
DFT (GGA-PBE) results for YReNi after structural relaxation.

```
3
Lattice="-1.447 1.379 5.380 -4.886 -0.377 2.986 4.065 -2.380 -3.278" Properties=species:S:1:pos:R:3 pbc="T T T"
Y -4.220 0.668 5.575
Re -2.333 0.369 3.083
Ni -6.112 0.967 8.074
```

Its density of states at the Fermi level is 0.7099 states/eV/atom. As for the volume: 53 Å³ per cell. Its space group is Imm2. For the energy above the most stable polymorph in this dataset, the calculation gives 30 meV per atom.


[12]
DFT (GGA-PBE) results for YRe2Ni after structural relaxation.

```
4
Lattice="5.272 -0.005 0.000 -2.578 4.598 0.000 0.000 0.000 2.745" Properties=species:S:1:pos:R:3 pbc="T T T"
Re 0.000 0.000 0.000
Re 1.347 2.297 0.000
Ni -1.289 2.299 1.372
Y 2.636 -0.002 1.372
```

Its density of states at the Fermi level is 0.8771 states/eV/atom. As for the volume: 66 Å³ per cell. Its space group is Cmmm. For the energy above the most stable polymorph in this dataset, the calculation gives 458 meV per atom.


[13]
DFT (GGA-PBE) results for ZnReNi2 after structural relaxation.

```
4
Lattice="-2.229 4.122 7.017 -2.307 1.618 7.953 0.009 2.955 7.903" Properties=species:S:1:pos:R:3 pbc="T T T"
Ni -0.002 0.004 0.009
Zn -3.396 6.521 17.155
Ni -2.262 4.344 11.427
Re -1.132 2.174 5.718
```

Its density of states at the Fermi level is 1.3155 states/eV/atom. The calculation puts the uncorrected energy at -6.316 eV per atom. As for the volume: 51 Å³ per cell. Its space group is R-3m.


[14]
DFT (GGA-PBE) results for Zn2ReNi after structural relaxation.

```
4
Lattice="2.672 0.000 0.000 0.000 3.385 0.000 0.000 0.000 5.857" Properties=species:S:1:pos:R:3 pbc="T T T"
Ni 1.336 1.692 1.464
Zn 0.000 0.000 2.789
Re 1.336 1.692 4.393
Zn 0.000 0.000 0.140
```

Its density of states at the Fermi level is 0.5455 states/eV/atom. As for the volume: 53 Å³ per cell. Its space group is Pmmm. For the energy above the most stable polymorph in this dataset, the calculation gives 125 meV per atom.


[15]
DFT (GGA-PBE) results for ZnReNi2 after structural relaxation.

```
4
Lattice="-1.584 -3.934 -1.478 -1.546 -2.325 3.518 -0.805 4.208 -1.349" Properties=species:S:1:pos:R:3 pbc="T T T"
Zn -1.977 -1.428 -0.904
Re -1.565 -3.129 1.020
Ni -1.958 -0.623 1.594
Ni 0.000 0.000 0.000
```

Its density of states at the Fermi level is 1.2732 states/eV/atom. The calculation puts the uncorrected energy at -6.129 eV per atom. As for the volume: 50 Å³ per cell. Its space group is I-4m2.


[16]
DFT (GGA-PBE) results for ZnReNi2 after structural relaxation.

```
4
Lattice="-2.385 0.691 3.788 -3.674 -1.095 2.411 1.743 -3.287 2.630" Properties=species:S:1:pos:R:3 pbc="T T T"
Re -2.261 -1.733 4.366
Ni -1.063 -0.997 2.289
Zn -3.150 -2.876 6.681
Ni -4.316 -3.620 8.737
```

Its density of states at the Fermi level is 1.0344 states/eV/atom. The calculation puts the uncorrected energy at -6.299 eV per atom. As for the volume: 51 Å³ per cell. Its space group is Cm.


[17]
DFT (GGA-PBE) results for ZnReNi2 after structural relaxation.

```
4
Lattice="-1.191 -0.127 -2.413 -2.007 -3.753 1.189 -3.319 2.256 1.519" Properties=species:S:1:pos:R:3 pbc="T T T"
Ni -1.599 -1.940 -0.612
Ni 0.000 0.000 0.000
Zn -2.663 -0.749 1.354
Re -2.255 1.064 -0.447
```

Its density of states at the Fermi level is 0.8033 states/eV/atom. The calculation puts the uncorrected energy at -6.106 eV per atom. As for the volume: 51 Å³ per cell. Its space group is Pmmm.


[18]
DFT (GGA-PBE) results for Zn2ReNi after structural relaxation.

```
4
Lattice="8.661 0.005 0.003 8.233 2.690 0.003 8.233 1.313 2.348" Properties=species:S:1:pos:R:3 pbc="T T T"
Zn 12.694 2.025 1.189
Ni 6.282 1.002 0.588
Zn 24.996 3.987 2.341
Re 18.845 3.006 1.765
```

Its density of states at the Fermi level is 0.6492 states/eV/atom. As for the volume: 55 Å³ per cell. Its space group is R-3m. For the energy above the most stable polymorph in this dataset, the calculation gives 59 meV per atom.


[19]
DFT (GGA-PBE) results for Zn2ReNi after structural relaxation.

```
4
Lattice="-0.504 -4.725 0.168 2.688 1.351 -3.682 2.110 -0.173 1.477" Properties=species:S:1:pos:R:3 pbc="T T T"
Ni 0.803 -2.449 0.822
Zn 0.000 0.000 0.000
Zn 1.092 -1.687 -1.757
Re 2.399 0.589 -1.103
```

Its density of states at the Fermi level is 0.7945 states/eV/atom. As for the volume: 54 Å³ per cell. Its space group is Cmmm. For the energy above the most stable polymorph in this dataset, the calculation gives 111 meV per atom.


[20]
DFT (GGA-PBE) results for ZnReNi2 after structural relaxation.

```
4
Lattice="-1.266 1.229 -3.759 0.258 -2.406 -0.873 -4.408 -1.477 1.002" Properties=species:S:1:pos:R:3 pbc="T T T"
Ni -1.849 -0.008 -1.674
Zn -3.989 -2.319 -1.708
Ni -4.215 -1.799 0.832
Re -1.848 -1.946 -0.014
```

Its density of states at the Fermi level is 0.4358 states/eV/atom. The calculation puts the uncorrected energy at -6.323 eV per atom. As for the volume: 50 Å³ per cell. Its space group is Pm.